[1]
KNiC3 after structural relaxation. Source: Alexandria, functional PBE.

Structure (CIF):
```
data_KNiC3
_chemical_formula_sum 'K1 Ni1 C3'
_cell_length_a 3.974
_cell_length_b 3.974
_cell_length_c 3.974
_cell_angle_alpha 90.00
_cell_angle_beta 90.00
_cell_angle_gamma 90.00
_space_group_name_H-M_alt 'P m -3 m'
_space_group_IT_number 221
_space_group_name_Hall '-P 4 2 3'
loop_
_atom_site_label
_atom_site_fract_x
_atom_site_fract_y
_atom_site_fract_z
_atom_site_occupancy
K1 0.000 0.000 0.000 1
Ni1 0.500 0.500 0.500 1
C1 0.000 0.500 0.500 1
```

Summary:
For the excess energy over the best structure of this formula in the dataset, the calculation gives 0.000 eV per atom. Its crystal system is cubic. The calculation puts the volume at 63 Å³ per cell. The calculation puts the formation energy at 2.3591 eV per atom. Its electronic total energy is -0.16725 Ha/atom.

---

[2]
Ca5Al4 after structural relaxation. Source: Alexandria, functional PBE.

Structure (CIF):
```
data_Ca5Al4
_chemical_formula_sum 'Ca10 Al8'
_cell_length_a 9.3782
_cell_length_b 9.3782
_cell_length_c 6.6072
_cell_angle_alpha 90.00
_cell_angle_beta 90.00
_cell_angle_gamma 120.00
_space_group_name_H-M_alt 'P 63/m c m'
_space_group_IT_number 193
_space_group_name_Hall '-P 6c 2'
loop_
_atom_site_label
_atom_site_fract_x
_atom_site_fract_y
_atom_site_fract_z
_atom_site_occupancy
Ca1 0.0000 0.2933 0.2500 1
Ca2 0.3333 0.6667 0.0000 1
Al1 0.0000 0.0000 0.0000 1
Al2 0.0000 0.3664 0.7500 1
```

Summary:
For the excess energy over the best structure of this formula in the dataset, the calculation gives 0.089 eV per atom. Its crystal system is hexagonal. The calculation puts the volume at 503 Å³ per cell. The calculation puts the formation energy at -0.0898 eV per atom. Its electronic total energy is -0.10529 Ha/atom.

---

[3]
TaAlNi2 after structural relaxation. Source: Alexandria, functional PBE.

Structure (CIF):
```
data_TaAlNi2
_chemical_formula_sum 'Ta1 Al1 Ni2'
_cell_length_a 2.727
_cell_length_b 4.129
_cell_length_c 4.988
_cell_angle_alpha 90.00
_cell_angle_beta 105.20
_cell_angle_gamma 90.00
_space_group_name_H-M_alt 'P 1 m 1'
_space_group_IT_number 6
_space_group_name_Hall 'P -2y'
loop_
_atom_site_label
_atom_site_fract_x
_atom_site_fract_y
_atom_site_fract_z
_atom_site_occupancy
Ta1 0.000 0.000 0.000 1
Al1 0.695 0.500 0.372 1
Ni1 0.272 0.000 0.514 1
Ni2 0.416 0.500 0.824 1
```

Summary:
Its crystal system is monoclinic. The calculation puts the volume at 54 Å³ per cell. The calculation puts the formation energy at -0.3529 eV per atom. Its electronic total energy is -0.26248 Ha/atom.

---

[4]
AsPRu2 after structural relaxation. Source: Alexandria, functional PBE.

Structure (CIF):
```
data_AsPRu2
_chemical_formula_sum 'As3 P3 Ru6'
_cell_length_a 3.0337
_cell_length_b 3.0337
_cell_length_c 23.0198
_cell_angle_alpha 90.00
_cell_angle_beta 90.00
_cell_angle_gamma 120.00
_space_group_name_H-M_alt 'R 3 m'
_space_group_IT_number 160
_space_group_name_Hall 'R 3 -2"'
loop_
_atom_site_label
_atom_site_fract_x
_atom_site_fract_y
_atom_site_fract_z
_atom_site_occupancy
As1 0.0000 0.0000 0.0000 1
P1 0.0000 0.0000 0.7608 1
Ru1 0.0000 0.0000 0.2605 1
Ru2 0.0000 0.0000 0.4923 1
```

Summary:
For the excess energy over the best structure of this formula in the dataset, the calculation gives 0.294 eV per atom. Its crystal system is trigonal. The calculation puts the volume at 183 Å³ per cell. The calculation puts the formation energy at 0.0042 eV per atom. Its electronic total energy is -0.26271 Ha/atom.

---

[5]
Nd2USb2N2 after structural relaxation. Source: Alexandria, functional PBE.

Structure (CIF):
```
data_Nd2USb2N2
_chemical_formula_sum 'Nd4 U2 Sb4 N4'
_cell_length_a 4.355
_cell_length_b 4.355
_cell_length_c 16.507
_cell_angle_alpha 90.00
_cell_angle_beta 90.00
_cell_angle_gamma 90.00
_space_group_name_H-M_alt 'I 4/m m m'
_space_group_IT_number 139
_space_group_name_Hall '-I 4 2'
loop_
_atom_site_label
_atom_site_fract_x
_atom_site_fract_y
_atom_site_fract_z
_atom_site_occupancy
Nd1 0.000 0.000 0.114 1
U1 0.000 0.000 0.500 1
Sb1 0.000 0.000 0.313 1
N1 0.000 0.500 0.000 1
```

Summary:
The formation energy without anion corrections is -7.5 eV/f.u. Its crystal system is tetragonal. The calculation puts the volume at 313 Å³ per cell. Its electronic total energy is -0.27963 Ha/atom.

---

[6]
YTmCl6 after structural relaxation. Source: Alexandria, functional PBE.

Structure (CIF):
```
data_YTmCl6
_chemical_formula_sum 'Y3 Tm3 Cl18'
_cell_length_a 6.7059
_cell_length_b 6.7059
_cell_length_c 18.1678
_cell_angle_alpha 90.00
_cell_angle_beta 90.00
_cell_angle_gamma 120.00
_space_group_name_H-M_alt 'R -3'
_space_group_IT_number 148
_space_group_name_Hall '-R 3'
loop_
_atom_site_label
_atom_site_fract_x
_atom_site_fract_y
_atom_site_fract_z
_atom_site_occupancy
Y1 0.0000 0.0000 0.0000 1
Tm1 0.0000 0.0000 0.5000 1
Cl1 0.0033 0.6460 0.2492 1
```

Summary:
The formation energy without anion corrections is -18.0 eV/f.u. Its crystal system is trigonal. The calculation puts the volume at 708 Å³ per cell. Its electronic total energy is -0.18371 Ha/atom.

---

[7]
ZnPd4 after structural relaxation. Source: Alexandria, functional PBE.

Structure (CIF):
```
data_ZnPd4
_chemical_formula_sum 'Zn3 Pd12'
_cell_length_a 2.8100
_cell_length_b 2.8100
_cell_length_c 33.0309
_cell_angle_alpha 90.00
_cell_angle_beta 90.00
_cell_angle_gamma 120.00
_space_group_name_H-M_alt 'R -3 m'
_space_group_IT_number 166
_space_group_name_Hall '-R 3 2"'
loop_
_atom_site_label
_atom_site_fract_x
_atom_site_fract_y
_atom_site_fract_z
_atom_site_occupancy
Zn1 0.0000 0.0000 0.0000 1
Pd1 0.0000 0.0000 0.2015 1
Pd2 0.0000 0.0000 0.3953 1
```

Summary:
For the excess energy over the best structure of this formula in the dataset, the calculation gives 0.009 eV per atom. Its crystal system is trigonal. The calculation puts the volume at 226 Å³ per cell. The calculation puts the formation energy at -0.2006 eV per atom. Its electronic total energy is -0.16940 Ha/atom.

---

[8]
Cs3TeSe after structural relaxation. Source: Alexandria, functional PBE.

Structure (CIF):
```
data_Cs3TeSe
_chemical_formula_sum 'Cs3 Te1 Se1'
_cell_length_a 6.811
_cell_length_b 6.811
_cell_length_c 6.811
_cell_angle_alpha 90.00
_cell_angle_beta 90.00
_cell_angle_gamma 90.00
_space_group_name_H-M_alt 'P m -3 m'
_space_group_IT_number 221
_space_group_name_Hall '-P 4 2 3'
loop_
_atom_site_label
_atom_site_fract_x
_atom_site_fract_y
_atom_site_fract_z
_atom_site_occupancy
Cs1 0.000 0.000 0.500 1
Te1 0.500 0.500 0.500 1
Se1 0.000 0.000 0.000 1
```

Summary:
For the excess energy over the best structure of this formula in the dataset, the calculation gives 0.275 eV per atom. The formation energy without anion corrections is -3.7 eV/f.u. Its crystal system is cubic. The calculation puts the volume at 316 Å³ per cell. Its electronic total energy is -0.09469 Ha/atom.

---

[9]
V2Ni7Rh after structural relaxation. Source: Alexandria, functional PBE.

Structure (CIF):
```
data_V2Ni7Rh
_chemical_formula_sum 'V4 Ni14 Rh2'
_cell_length_a 7.204
_cell_length_b 14.526
_cell_length_c 2.485
_cell_angle_alpha 90.00
_cell_angle_beta 90.00
_cell_angle_gamma 90.00
_space_group_name_H-M_alt 'C m m m'
_space_group_IT_number 65
_space_group_name_Hall '-C 2 2'
loop_
_atom_site_label
_atom_site_fract_x
_atom_site_fract_y
_atom_site_fract_z
_atom_site_occupancy
V1 0.000 0.179 0.000 1
Ni1 0.000 0.000 0.000 1
Ni2 0.000 0.319 0.500 1
Ni3 0.237 0.402 0.000 1
Rh1 0.000 0.500 0.500 1
```

Summary:
Its crystal system is orthorhombic. The calculation puts the volume at 260 Å³ per cell. The calculation puts the formation energy at 0.3707 eV per atom. Its electronic total energy is -0.22914 Ha/atom.

---

[10]
La2PrNdTl2 after structural relaxation. Source: Alexandria, functional PBE.

Structure (CIF):
```
data_La2PrNdTl2
_chemical_formula_sum 'La4 Pr2 Nd2 Tl4'
_cell_length_a 5.274
_cell_length_b 10.547
_cell_length_c 6.961
_cell_angle_alpha 90.00
_cell_angle_beta 90.00
_cell_angle_gamma 90.00
_space_group_name_H-M_alt 'P m c 21'
_space_group_IT_number 26
_space_group_name_Hall 'P 2c -2'
loop_
_atom_site_label
_atom_site_fract_x
_atom_site_fract_y
_atom_site_fract_z
_atom_site_occupancy
La1 0.000 0.057 0.000 1
La2 0.500 0.179 0.223 1
Pr1 0.500 0.457 0.863 1
Nd1 0.000 0.308 0.592 1
Tl1 0.000 0.378 0.127 1
Tl2 0.500 0.139 0.710 1
```

Summary:
Its crystal system is orthorhombic. The calculation puts the volume at 387 Å³ per cell. The calculation puts the formation energy at -0.2921 eV per atom. Its electronic total energy is -0.15856 Ha/atom.

---

[11]
AgTeAu4 after structural relaxation. Source: Alexandria, functional PBE.

Structure (CIF):
```
data_AgTeAu4
_chemical_formula_sum 'Ag4 Te4 Au16'
_cell_length_a 7.913
_cell_length_b 7.913
_cell_length_c 7.913
_cell_angle_alpha 90.00
_cell_angle_beta 90.00
_cell_angle_gamma 90.00
_space_group_name_H-M_alt 'F -4 3 m'
_space_group_IT_number 216
_space_group_name_Hall 'F -4 2 3'
loop_
_atom_site_label
_atom_site_fract_x
_atom_site_fract_y
_atom_site_fract_z
_atom_site_occupancy
Ag1 0.000 0.000 0.000 1
Te1 0.250 0.250 0.250 1
Au1 0.125 0.125 0.625 1
```

Summary:
The formation energy without anion corrections is 0.7 eV/f.u. Its crystal system is cubic. The calculation puts the volume at 495 Å³ per cell. Its electronic total energy is -0.11286 Ha/atom.

---

[12]
SiOs3Pb after structural relaxation. Source: Alexandria, functional PBE.

Structure (CIF):
```
data_SiOs3Pb
_chemical_formula_sum 'Si1 Os3 Pb1'
_cell_length_a 4.991
_cell_length_b 4.991
_cell_length_c 4.991
_cell_angle_alpha 90.00
_cell_angle_beta 90.00
_cell_angle_gamma 90.00
_space_group_name_H-M_alt 'P m -3 m'
_space_group_IT_number 221
_space_group_name_Hall '-P 4 2 3'
loop_
_atom_site_label
_atom_site_fract_x
_atom_site_fract_y
_atom_site_fract_z
_atom_site_occupancy
Si1 0.000 0.000 0.000 1
Os1 0.000 0.500 0.500 1
Pb1 0.500 0.500 0.500 1
```

Summary:
For the excess energy over the best structure of this formula in the dataset, the calculation gives 2.087 eV per atom. The formation energy without anion corrections is 16.4 eV/f.u. Its crystal system is cubic. The calculation puts the volume at 124 Å³ per cell. Its electronic total energy is -0.19432 Ha/atom.